Entry 1:
# La2PrHoIn2

Crystalline La2PrHoIn2 at its relaxed geometry (GGA-PBE, Alexandria via LeMat-Bulk).

Results
SG: Pmc2_1
Total energy (eV per cell): -53.62
Mass density (Mg/m³): 7.2
DOS(E_F) (states/eV/f.u.): 6.9

a b c (Å): 5.2583 10.3247 6.9297
angles (deg): 90.00 90.00 90.00
Positions (direct):
La 0.0000 0.0567 0.0000
La 0.0000 0.9433 0.5000
La 0.5000 0.1782 0.2372
La 0.5000 0.8218 0.7372
Pr 0.5000 0.4575 0.8810
Pr 0.5000 0.5425 0.3810
Ho 0.0000 0.3092 0.6030
Ho 0.0000 0.6908 0.1030
In 0.0000 0.3797 0.1467
In 0.0000 0.6203 0.6467
In 0.5000 0.1475 0.7181
In 0.5000 0.8525 0.2181

---

Entry 2:
# MnAsP2Cl

Crystalline MnAsP2Cl at its relaxed geometry (GGA-PBE, Alexandria via LeMat-Bulk).

Results
SG: P4/mmm
Total energy (eV per cell): -23.90
Mass density (Mg/m³): 4.2
DOS(E_F) (states/eV/f.u.): 4.5

a b c (Å): 4.3288 4.3288 4.8391
angles (deg): 90.00 90.00 90.00
Positions (direct):
Mn 0.0000 0.0000 0.0000
As 0.5000 0.5000 0.5000
P 0.0000 0.5000 0.0000
P 0.5000 0.0000 0.0000
Cl 0.0000 0.0000 0.5000

---

Entry 3:
# La2PrNdY5

Crystalline La2PrNdY5 at its relaxed geometry (GGA-PBE, Alexandria via LeMat-Bulk).

Results
SG: I4/mcm
Total energy (eV per cell): -99.37
Mass density (Mg/m³): 5.5
DOS(E_F) (states/eV/f.u.): 11.4

a b c (Å): 10.0888 10.0888 10.0888
angles (deg): 128.44 128.44 75.91
Positions (direct):
La 0.1172 0.6172 0.7344
La 0.3828 0.1172 0.5000
La 0.6172 0.8828 0.5000
La 0.8828 0.3828 0.2656
Pr 0.2500 0.2500 0.0000
Pr 0.7500 0.7500 0.0000
Nd 0.2500 0.7500 0.5000
Nd 0.7500 0.2500 0.5000
Y 0.0000 0.0000 0.0000
Y 0.0732 0.1494 0.5000
Y 0.1494 0.6494 0.0762
Y 0.3506 0.4268 0.5000
Y 0.4268 0.9268 0.0762
Y 0.5000 0.5000 0.0000
Y 0.5732 0.0732 0.9238
Y 0.6494 0.5732 0.5000
Y 0.8506 0.3506 0.9238
Y 0.9268 0.8506 0.5000